1.
DFT (PBEsol) results for an optimized crystal structure of Si3W4.

Unit cell a=3.153 b=3.153 c=10.208 alpha=98.88 beta=98.88 gamma=90.00
Positions (direct):
W 0.570 0.570 0.140
Si 0.285 0.285 0.570
W 0.848 0.848 0.696
Si 0.000 0.000 0.000
W 0.152 0.152 0.304
Si 0.715 0.715 0.430
W 0.430 0.430 0.860

Results
- SG: No. 139
- Raw total energy: -10.506 eV/atom
- Total moment: 0.000 μB/cell

***

2.
DFT (PBEsol) results for an optimized crystal structure of SiW.

Unit cell a=3.879 b=3.879 c=4.704 alpha=90.00 beta=90.00 gamma=120.00
Each line ends with the local moment (μB).
Positions (direct):
Si 0.000 0.000 0.500  0.00
Si 0.000 0.000 0.000  0.00
W 0.333 0.667 0.250  0.29
W 0.667 0.333 0.750  0.29

Results
- SG: No. 194
- Raw total energy: -9.345 eV/atom
- Total moment: 0.741 μB/cell

***

3.
DFT (PBEsol) results for an optimized crystal structure of YSiW.

Unit cell a=3.318 b=3.318 c=5.617 alpha=107.18 beta=107.18 gamma=90.00
Positions (direct):
Si 0.036 0.036 0.071
W 0.632 0.632 0.263
Y 0.333 0.333 0.665

Results
- SG: No. 107
- Raw total energy: -8.886 eV/atom
- Total moment: 0.001 μB/cell

***

4.
DFT (PBEsol) results for an optimized crystal structure of YSi2W2.

Unit cell a=4.555 b=4.555 c=5.486 alpha=114.53 beta=114.53 gamma=90.00
Positions (direct):
W 0.366 0.366 0.733
Si 0.750 0.250 0.500
Si 0.250 0.750 0.500
Y 0.000 0.000 0.000
W 0.634 0.634 0.267

Results
- SG: No. 139
- Raw total energy: -9.175 eV/atom
- Total moment: 0.000 μB/cell

***

5.
DFT (PBEsol) results for an optimized crystal structure of YSiW2.

Unit cell a=3.534 b=4.290 c=4.527 alpha=90.00 beta=90.00 gamma=90.00
Positions (direct):
W 0.000 0.000 0.000
Y 0.500 0.000 0.500
Si 0.000 0.500 0.500
W 0.500 0.500 0.000

Results
- SG: No. 47
- Raw total energy: -9.757 eV/atom
- Total moment: 0.000 μB/cell

***

6.
DFT (PBEsol) results for an optimized crystal structure of Y2Si2W.

Unit cell a=3.412 b=3.412 c=9.177 alpha=100.71 beta=100.71 gamma=90.00
Positions (direct):
Y 0.394 0.394 0.789
Si 0.750 0.250 0.500
Y 0.606 0.606 0.211
W 0.000 0.000 0.000
Si 0.250 0.750 0.500

Results
- SG: No. 139
- Raw total energy: -7.561 eV/atom
- Total moment: 0.008 μB/cell

***

7.
DFT (PBEsol) results for an optimized crystal structure of ZnSiW2.

Unit cell a=4.333 b=4.333 c=4.333 alpha=60.00 beta=60.00 gamma=60.00
Positions (direct):
W 0.000 0.000 0.000
Zn 0.750 0.750 0.750
Si 0.500 0.500 0.500
W 0.250 0.250 0.250

Results
- Energy above the most stable polymorph in this dataset: 0.127 eV per atom
- SG: No. 216
- Raw total energy: -8.450 eV/atom
- Total moment: 0.000 μB/cell

***

8.
DFT (PBEsol) results for an optimized crystal structure of ZnSiW.

Unit cell a=3.146 b=3.146 c=4.803 alpha=109.12 beta=109.12 gamma=90.00
Positions (direct):
W 0.658 0.658 0.315
Zn 0.338 0.338 0.677
Si 0.004 0.004 0.008

Results
- Energy above the most stable polymorph in this dataset: 0.000 eV per atom
- SG: No. 107
- Raw total energy: -6.859 eV/atom
- Total moment: 0.000 μB/cell

***

9.
DFT (PBEsol) results for an optimized crystal structure of ZnSiW4.

Unit cell a=5.206 b=5.206 c=5.206 alpha=60.00 beta=60.00 gamma=60.00
Positions (direct):
Si 0.000 0.000 0.000
W 0.376 0.376 0.872
Zn 0.750 0.750 0.750
W 0.376 0.376 0.376
W 0.872 0.376 0.376
W 0.376 0.872 0.376

Results
- SG: No. 216
- Raw total energy: -9.631 eV/atom
- Total moment: 0.000 μB/cell

***

10.
DFT (PBEsol) results for an optimized crystal structure of ZnSi2W.

Unit cell a=2.806 b=4.855 c=5.040 alpha=117.52 beta=104.16 gamma=94.02
Positions (direct):
Zn 0.500 0.500 0.000
W 0.000 0.000 0.000
Si 0.500 0.500 0.500
Si 0.000 0.000 0.500

Results
- SG: No. 12
- Raw total energy: -6.459 eV/atom
- Total moment: 0.000 μB/cell

***

11.
DFT (PBEsol) results for an optimized crystal structure of ZnSiW.

Unit cell a=4.056 b=4.056 c=4.056 alpha=60.00 beta=60.00 gamma=60.00
Positions (direct):
W 0.000 0.000 0.000
Si 0.750 0.750 0.750
Zn 0.500 0.500 0.500

Results
- Energy above the most stable polymorph in this dataset: 0.336 eV per atom
- SG: No. 216
- Raw total energy: -6.524 eV/atom
- Total moment: 0.000 μB/cell

***

12.
DFT (PBEsol) results for an optimized crystal structure of Zn2Si2W.

Unit cell a=3.400 b=3.400 c=6.921 alpha=104.22 beta=104.22 gamma=90.00
Positions (direct):
Si 0.750 0.250 0.500
Zn 0.594 0.594 0.189
Si 0.250 0.750 0.500
W 0.000 0.000 0.000
Zn 0.406 0.406 0.811

Results
- SG: No. 139
- Raw total energy: -5.000 eV/atom
- Total moment: 0.000 μB/cell

***

13.
DFT (PBEsol) results for an optimized crystal structure of ZnSi2W.

Unit cell a=2.711 b=4.464 c=4.857 alpha=93.27 beta=106.21 gamma=90.00
Positions (direct):
Si 0.004 0.023 0.008
Si 0.237 0.725 0.475
Zn 0.758 0.232 0.516
W 0.500 0.520 0.001

Results
- SG: No. 8
- Raw total energy: -6.597 eV/atom
- Total moment: 0.000 μB/cell

***

14.
DFT (PBEsol) results for an optimized crystal structure of ZnSiW2.

Unit cell a=2.662 b=2.662 c=8.525 alpha=90.00 beta=90.00 gamma=90.00
Positions (direct):
W 0.500 0.500 0.255
Zn 0.000 0.000 0.496
Si 0.500 0.500 0.759
W 0.000 0.000 0.990

Results
- Energy above the most stable polymorph in this dataset: 0.216 eV per atom
- SG: No. 99
- Raw total energy: -8.360 eV/atom
- Total moment: 0.000 μB/cell

***

15.
DFT (PBEsol) results for an optimized crystal structure of ZnSiW2.

Unit cell a=3.296 b=4.195 c=4.911 alpha=115.28 beta=109.61 gamma=90.00
Positions (direct):
Si 0.251 0.751 0.501
Zn 0.510 0.510 0.019
W 0.747 0.247 0.494
W 0.993 0.993 0.985

Results
- Energy above the most stable polymorph in this dataset: 0.000 eV per atom
- SG: No. 44
- Raw total energy: -8.576 eV/atom
- Total moment: 0.000 μB/cell

***

16.
DFT (PBEsol) results for an optimized crystal structure of ZnSi2W.

Unit cell a=3.313 b=4.062 c=4.838 alpha=114.82 beta=110.03 gamma=90.00
Positions (direct):
Zn 0.260 0.760 0.520
W 0.494 0.494 0.988
Si 0.746 0.246 0.493
Si 0.999 0.999 0.999

Results
- SG: No. 44
- Raw total energy: -6.578 eV/atom
- Total moment: 0.000 μB/cell

***

17.
DFT (PBEsol) results for an optimized crystal structure of ZrSiW3.

Unit cell a=4.709 b=4.709 c=4.709 alpha=90.00 beta=90.00 gamma=90.00
Positions (direct):
Si 0.500 0.500 0.500
Zr 0.000 0.000 0.000
W 0.500 0.000 0.000
W 0.000 0.500 0.000
W 0.000 0.000 0.500

Results
- SG: No. 221
- Raw total energy: -8.454 eV/atom
- Total moment: 0.001 μB/cell

***

18.
DFT (PBEsol) results for an optimized crystal structure of ZrSi2W.

Unit cell a=3.357 b=3.927 c=4.968 alpha=90.00 beta=109.75 gamma=90.00
Positions (direct):
Zr 0.397 0.500 0.794
W 0.108 0.000 0.216
Si 0.671 0.500 0.342
Si 0.824 0.000 0.648

Results
- SG: No. 38
- Raw total energy: -9.036 eV/atom
- Total moment: 0.001 μB/cell

***

19.
DFT (PBEsol) results for an optimized crystal structure of Zr2SiW.

Unit cell a=4.228 b=4.228 c=4.921 alpha=115.44 beta=115.44 gamma=90.00
Positions (direct):
W 0.250 0.750 0.500
Zr 0.000 0.000 0.000
Zr 0.750 0.250 0.500
Si 0.500 0.500 0.000

Results
- SG: No. 119
- Raw total energy: -9.507 eV/atom
- Total moment: 0.000 μB/cell

***

20.
DFT (PBEsol) results for an optimized crystal structure of Zr2SiW.

Unit cell a=2.926 b=2.926 c=9.840 alpha=81.45 beta=81.45 gamma=60.00
Positions (direct):
W 0.000 0.000 0.000
Si 0.500 0.500 0.500
Zr 0.246 0.246 0.263
Zr 0.754 0.754 0.737

Results
- SG: No. 166
- Raw total energy: -9.337 eV/atom
- Total moment: 0.000 μB/cell

***

21.
DFT (PBEsol) results for an optimized crystal structure of Y3Si.

Unit cell a=3.602 b=3.602 c=10.044 alpha=79.67 beta=79.67 gamma=60.00
Positions (direct):
Si 0.000 0.000 0.000
Y 0.500 0.500 0.500
Y 0.268 0.268 0.196
Y 0.732 0.732 0.804

Results
- Energy above the most stable polymorph in this dataset: 0.279 eV per atom
- SG: No. 166
- Raw total energy: -6.731 eV/atom
- Total moment: 0.004 μB/cell

***

22.
DFT (PBEsol) results for an optimized crystal structure of Y2Si.

Unit cell a=4.193 b=5.989 c=6.319 alpha=90.00 beta=90.00 gamma=110.49
Positions (direct):
Si 0.385 0.770 0.250
Y 0.706 0.413 0.250
Y 0.000 0.000 0.500
Y 0.000 0.000 0.000
Y 0.294 0.587 0.750
Si 0.615 0.230 0.750

Results
- SG: No. 63
- Raw total energy: -7.066 eV/atom
- Total moment: 0.000 μB/cell

***

23.
DFT (PBEsol) results for an optimized crystal structure of Y3Si.

Unit cell a=6.165 b=7.649 c=9.020 alpha=90.00 beta=90.00 gamma=90.00
Positions (direct):
Y 0.124 0.032 0.750
Y 0.851 0.678 0.556
Si 0.563 0.880 0.750
Si 0.937 0.380 0.750
Si 0.063 0.620 0.250
Y 0.376 0.532 0.750
Y 0.149 0.322 0.056
Si 0.437 0.120 0.250
Y 0.876 0.968 0.250
Y 0.851 0.678 0.944
Y 0.149 0.322 0.444
Y 0.624 0.468 0.250
Y 0.351 0.822 0.444
Y 0.649 0.178 0.944
Y 0.351 0.822 0.056
Y 0.649 0.178 0.556

Results
- Energy above the most stable polymorph in this dataset: 0.000 eV per atom
- SG: No. 62
- Raw total energy: -7.010 eV/atom
- Total moment: 0.707 μB/cell

***

24.
DFT (PBEsol) results for an optimized crystal structure of Y3Si.

Unit cell a=4.463 b=4.463 c=5.815 alpha=112.57 beta=112.57 gamma=90.00
Positions (direct):
Y 0.750 0.250 0.500
Si 0.000 0.000 0.000
Y 0.250 0.750 0.500
Y 0.500 0.500 0.000

Results
- Energy above the most stable polymorph in this dataset: 0.190 eV per atom
- SG: No. 139
- Raw total energy: -6.819 eV/atom
- Total moment: 0.000 μB/cell

***

25.
DFT (PBEsol) results for an optimized crystal structure of Y2Si.

Unit cell a=4.117 b=5.864 c=6.898 alpha=76.95 beta=72.64 gamma=69.45
Positions (direct):
Si 0.876 0.089 0.158
Si 0.124 0.911 0.842
Y 0.586 0.691 0.138
Y 0.414 0.309 0.862
Y 0.173 0.229 0.425
Y 0.827 0.771 0.575

Results
- SG: No. 12
- Raw total energy: -7.054 eV/atom
- Total moment: 0.000 μB/cell

***

26.
DFT (PBEsol) results for an optimized crystal structure of YSi4.

Unit cell a=3.467 b=5.184 c=5.184 alpha=83.58 beta=70.46 gamma=70.46
Positions (direct):
Si 0.381 0.788 0.451
Si 0.169 0.451 0.212
Si 0.831 0.549 0.788
Si 0.619 0.212 0.549
Y 0.000 0.000 0.000

Results
- SG: No. 87
- Raw total energy: -6.152 eV/atom
- Total moment: 0.000 μB/cell

***

27.
DFT (PBEsol) results for an optimized crystal structure of Y2Si.

Unit cell a=4.795 b=4.795 c=4.795 alpha=60.00 beta=60.00 gamma=60.00
Positions (direct):
Y 0.250 0.250 0.250
Si 0.000 0.000 0.000
Y 0.750 0.750 0.750

Results
- SG: No. 225
- Raw total energy: -6.997 eV/atom
- Total moment: 0.000 μB/cell

***

28.
DFT (PBEsol) results for an optimized crystal structure of YZr2Si.

Unit cell a=3.848 b=4.575 c=5.641 alpha=113.92 beta=109.94 gamma=90.00
Positions (direct):
Si 0.000 0.500 0.000
Zr 0.276 0.276 0.551
Y 0.500 0.000 0.000
Zr 0.724 0.724 0.449

Results
- Energy above the most stable polymorph in this dataset: 0.006 eV per atom
- SG: No. 71
- Raw total energy: -7.986 eV/atom
- Total moment: 0.000 μB/cell

***

29.
DFT (PBEsol) results for an optimized crystal structure of Y2ZrSi.

Unit cell a=3.794 b=3.817 c=6.284 alpha=90.00 beta=90.00 gamma=90.00
Positions (direct):
Y 0.000 0.000 0.277
Zr 0.500 0.500 0.000
Y 0.000 0.000 0.723
Si 0.500 0.500 0.500

Results
- Energy above the most stable polymorph in this dataset: 0.013 eV per atom
- SG: No. 47
- Raw total energy: -7.344 eV/atom
- Total moment: 0.003 μB/cell